VASP calculation (PBEsol) on a geometry-optimized In2SiIr structure.

Values from the calculation:
- Fermi-level density of states (states/eV per cell) = 1.8
- energy relative to the elements, uncorrected (meV per atom) = 240
- total magnetic moment (μB per atom) = 0.000

a = 3.633 Å, b = 3.633 Å, c = 5.375 Å
α = 90.00°, β = 90.00°, γ = 90.00°
Positions (direct):
In 0.000 0.000 0.753
Ir 0.500 0.500 0.000
In 0.000 0.000 0.247
Si 0.500 0.500 0.500